(1)
Density functional theory data (PBE) for a geometry-optimized Pm2Y5Cd structure.

Structure (POSCAR):
```
Pm2Y5Cd
1.0
-3.5166 3.5166 5.0568
3.5166 -3.5166 5.0568
3.5166 3.5166 -5.0568
Pm Y Cd
2 5 1
Direct
0.0000 0.5000 0.5000
0.5000 0.0000 0.5000
0.0000 0.0000 0.0000
0.0000 0.0000 0.5000
0.0000 0.5000 0.0000
0.5000 0.0000 0.0000
0.5000 0.5000 0.5000
0.5000 0.5000 0.0000
```

Values from the calculation:
- SG = I4/mmm (139)


(2)
Density functional theory data (PBE) for a geometry-optimized Pm6YCd2 structure.

Structure (POSCAR):
```
Pm6YCd2
1.0
6.4599 -1.9076 0.0000
6.4599 1.9076 0.0000
-3.9589 0.0000 11.4928
Pm Y Cd
6 1 2
Direct
0.0187 0.0187 0.3370
0.3107 0.3107 0.4124
0.3143 0.3143 0.1233
0.6857 0.6857 0.8767
0.6893 0.6893 0.5876
0.9813 0.9813 0.6630
0.0000 0.0000 0.0000
0.3573 0.3573 0.7988
0.6427 0.6427 0.2012
```

Values from the calculation:
- SG = C2/m (12)


(3)
Density functional theory data (PBE) for a geometry-optimized Pm4Y5Cd structure.

Structure (POSCAR):
```
Pm4Y5Cd
1.0
3.6241 0.0000 0.0000
0.0000 3.6241 0.0000
0.0000 0.0000 24.3732
Pm Y Cd
4 5 1
Direct
0.0000 0.0000 0.1041
0.0000 0.0000 0.3128
0.0000 0.0000 0.6872
0.0000 0.0000 0.8959
0.5000 0.5000 0.0000
0.5000 0.5000 0.2087
0.5000 0.5000 0.4170
0.5000 0.5000 0.5830
0.5000 0.5000 0.7913
0.0000 0.0000 0.5000
```

Values from the calculation:
- SG = P4/mmm (123)


(4)
Density functional theory data (PBE) for a geometry-optimized Pm2Y8Cd structure.

Structure (POSCAR):
```
Pm2Y8Cd
1.0
9.7498 -2.7989 0.0000
9.7498 2.7989 0.0000
-0.5577 0.0000 6.4657
Pm Y Cd
2 8 1
Direct
0.2432 0.2432 0.3338
0.7568 0.7568 0.6662
0.0437 0.0437 0.2623
0.1534 0.1534 0.8076
0.3409 0.3409 0.8748
0.4225 0.4225 0.3985
0.5775 0.5775 0.6015
0.6591 0.6591 0.1252
0.8466 0.8466 0.1924
0.9563 0.9563 0.7377
0.5000 0.5000 0.0000
```

Values from the calculation:
- SG = C2/m (12)


(5)
Density functional theory data (PBE) for a geometry-optimized PmY2Cd4 structure.

Structure (POSCAR):
```
PmY2Cd4
1.0
-2.7012 2.7012 6.8821
2.7012 -2.7012 6.8821
2.7012 2.7012 -6.8821
Pm Y Cd
1 2 4
Direct
0.0000 0.0000 0.0000
0.2624 0.2624 0.0000
0.7376 0.7376 0.0000
0.1172 0.6172 0.5000
0.3828 0.8828 0.5000
0.6172 0.1172 0.5000
0.8828 0.3828 0.5000
```

Values from the calculation:
- SG = I4/mmm (139)


(6)
Density functional theory data (PBE) for a geometry-optimized Pm8Y6Cd structure.

Structure (POSCAR):
```
Pm8Y6Cd
1.0
9.4672 0.0000 0.0000
-4.7336 8.1989 0.0000
0.0000 0.0000 6.4402
Pm Y Cd
8 6 1
Direct
0.0426 0.2694 0.3156
0.2268 0.9574 0.3156
0.2694 0.2268 0.6844
0.3333 0.6667 0.3265
0.6667 0.3333 0.6735
0.7306 0.7732 0.3156
0.7732 0.0426 0.6844
0.9574 0.7306 0.6844
0.0960 0.4514 0.8243
0.3554 0.9040 0.8243
0.4514 0.3554 0.1757
0.5486 0.6446 0.8243
0.6446 0.0960 0.1757
0.9040 0.5486 0.1757
0.0000 0.0000 0.0000
```

Values from the calculation:
- SG = P-3 (147)


(7)
Density functional theory data (PBE) for a geometry-optimized Pm5Y4Cd structure.

Structure (POSCAR):
```
Pm5Y4Cd
1.0
3.4220 0.0000 0.0000
0.0000 3.4220 0.0000
0.0000 0.0000 28.8657
Pm Y Cd
5 4 1
Direct
0.0000 0.0000 0.0000
0.0000 0.0000 0.3010
0.0000 0.0000 0.4220
0.0000 0.0000 0.5780
0.0000 0.0000 0.6990
0.5000 0.5000 0.0918
0.5000 0.5000 0.2106
0.5000 0.5000 0.7894
0.5000 0.5000 0.9082
0.5000 0.5000 0.5000
```

Values from the calculation:
- SG = P4/mmm (123)


(8)
Density functional theory data (PBE) for a geometry-optimized PmY2Cd5 structure.

Structure (POSCAR):
```
PmY2Cd5
1.0
-2.5946 2.5946 7.5080
2.5946 -2.5946 7.5080
2.5946 2.5946 -7.5080
Pm Y Cd
1 2 5
Direct
0.0000 0.0000 0.0000
0.2628 0.2628 0.0000
0.7372 0.7372 0.0000
0.1221 0.6221 0.5000
0.3779 0.8779 0.5000
0.5000 0.5000 0.0000
0.6221 0.1221 0.5000
0.8779 0.3779 0.5000
```

Values from the calculation:
- SG = I4/mmm (139)


(9)
Density functional theory data (PBE) for a geometry-optimized Pm5YCd3 structure.

Structure (POSCAR):
```
Pm5YCd3
1.0
9.3957 0.0000 0.0000
-4.6978 8.1369 0.0000
0.0000 0.0000 7.0386
Pm Y Cd
10 2 6
Direct
0.0000 0.3358 0.2500
0.0000 0.6642 0.7500
0.3333 0.6667 0.0000
0.3333 0.6667 0.5000
0.3358 0.0000 0.2500
0.3358 0.3358 0.7500
0.6642 0.0000 0.7500
0.6642 0.6642 0.2500
0.6667 0.3333 0.0000
0.6667 0.3333 0.5000
0.0000 0.0000 0.0000
0.0000 0.0000 0.5000
0.0000 0.3278 0.7500
0.0000 0.6722 0.2500
0.3278 0.0000 0.7500
0.3278 0.3278 0.2500
0.6722 0.0000 0.2500
0.6722 0.6722 0.7500
```

Values from the calculation:
- SG = P6_3/mcm (193)


(10)
Density functional theory data (PBE) for a geometry-optimized PmYCd5 structure.

Structure (POSCAR):
```
PmYCd5
1.0
5.1950 0.0000 0.0000
0.0000 5.1950 0.0000
0.0000 0.0000 6.9077
Pm Y Cd
1 1 5
Direct
0.0000 0.0000 0.0000
0.5000 0.5000 0.5000
0.0000 0.5000 0.2698
0.0000 0.5000 0.7302
0.5000 0.0000 0.2698
0.5000 0.0000 0.7302
0.5000 0.5000 0.0000
```

Values from the calculation:
- SG = P4/mmm (123)


(11)
Density functional theory data (PBE) for a geometry-optimized Pm4YCd structure.

Structure (POSCAR):
```
Pm4YCd
1.0
3.6634 0.0000 0.0000
0.0000 3.6634 0.0000
0.0000 0.0000 14.2983
Pm Y Cd
4 1 1
Direct
0.0000 0.0000 0.1464
0.0000 0.0000 0.8536
0.5000 0.5000 0.3233
0.5000 0.5000 0.6767
0.0000 0.0000 0.5000
0.5000 0.5000 0.0000
```

Values from the calculation:
- SG = P4/mmm (123)


(12)
Density functional theory data (PBE) for a geometry-optimized Pm2Y6Cd structure.

Structure (POSCAR):
```
Pm2Y6Cd
1.0
4.7531 -8.8068 0.0000
4.7531 8.8068 0.0000
0.0000 0.0000 3.5382
Pm Y Cd
2 6 1
Direct
0.1821 0.8179 0.0000
0.8179 0.1821 0.0000
0.1622 0.4845 0.5000
0.2032 0.2032 0.0000
0.4845 0.1622 0.5000
0.5155 0.8378 0.5000
0.7968 0.7968 0.0000
0.8378 0.5155 0.5000
0.5000 0.5000 0.5000
```

Values from the calculation:
- SG = Cmmm (65)


(13)
Density functional theory data (PBE) for a geometry-optimized Pm3YCd2 structure.

Structure (POSCAR):
```
Pm3YCd2
1.0
2.4609 -7.3636 0.0000
2.4609 7.3636 0.0000
0.0000 0.0000 4.8410
Pm Y Cd
3 1 2
Direct
0.0000 0.0000 0.0000
0.3271 0.6729 0.0000
0.6729 0.3271 0.0000
0.5000 0.5000 0.5000
0.1649 0.8351 0.5000
0.8351 0.1649 0.5000
```

Values from the calculation:
- SG = Cmmm (65)


(14)
Density functional theory data (PBE) for a geometry-optimized Pm2Y8Cd structure.

Structure (POSCAR):
```
Pm2Y8Cd
1.0
9.2429 -3.4283 0.0000
9.2429 3.4283 0.0000
-0.1962 0.0000 5.7686
Pm Y Cd
2 8 1
Direct
0.2204 0.2204 0.2579
0.7796 0.7796 0.7421
0.0506 0.0506 0.2338
0.1162 0.6374 0.2551
0.3282 0.3282 0.7658
0.3626 0.8838 0.7449
0.6374 0.1162 0.2551
0.6718 0.6718 0.2342
0.8838 0.3626 0.7449
0.9494 0.9494 0.7662
0.5000 0.5000 0.0000
```

Values from the calculation:
- SG = C2/m (12)


(15)
Density functional theory data (PBE) for a geometry-optimized Pm2YCd8 structure.

Structure (POSCAR):
```
Pm2YCd8
1.0
5.0063 0.0000 0.0000
-0.0068 7.0504 0.0000
-2.4994 -2.2613 7.6939
Pm Y Cd
2 1 8
Direct
0.2158 0.1499 0.4323
0.7842 0.8501 0.5677
0.5000 0.5000 0.0000
0.0153 0.2164 0.0304
0.1449 0.6315 0.2876
0.3268 0.6064 0.6539
0.4109 0.0375 0.8214
0.5891 0.9625 0.1786
0.6732 0.3936 0.3461
0.8551 0.3685 0.7124
0.9847 0.7836 0.9696
```

Values from the calculation:
- SG = P-1 (2)


(16)
Density functional theory data (PBE) for a geometry-optimized PmYCd14 structure.

Structure (POSCAR):
```
PmYCd14
1.0
6.6403 0.0000 0.0000
0.0000 6.6403 0.0000
0.0000 0.0000 8.4926
Pm Y Cd
1 1 14
Direct
0.0000 0.0000 0.0000
0.5000 0.5000 0.0000
0.0000 0.0000 0.5000
0.0000 0.5000 0.0000
0.0000 0.5000 0.5000
0.2519 0.2519 0.2600
0.2519 0.2519 0.7400
0.2519 0.7481 0.2600
0.2519 0.7481 0.7400
0.5000 0.0000 0.0000
0.5000 0.0000 0.5000
0.5000 0.5000 0.5000
0.7481 0.2519 0.2600
0.7481 0.2519 0.7400
0.7481 0.7481 0.2600
0.7481 0.7481 0.7400
```

Values from the calculation:
- SG = P4/mmm (123)


(17)
Density functional theory data (PBE) for a geometry-optimized PmY6Cd2 structure.

Structure (POSCAR):
```
PmY6Cd2
1.0
6.3716 -1.8745 0.0000
6.3716 1.8745 0.0000
-3.7280 0.0000 11.3970
Pm Y Cd
1 6 2
Direct
0.0000 0.0000 0.0000
0.0165 0.0165 0.3407
0.3121 0.3121 0.4154
0.3152 0.3152 0.1242
0.6848 0.6848 0.8758
0.6879 0.6879 0.5846
0.9835 0.9835 0.6593
0.3517 0.3517 0.7877
0.6483 0.6483 0.2123
```

Values from the calculation:
- SG = C2/m (12)


(18)
Density functional theory data (PBE) for a geometry-optimized Pm5YCd4 structure.

Structure (POSCAR):
```
Pm5YCd4
1.0
3.7881 0.0000 0.0000
0.0000 3.7881 0.0000
0.0000 0.0000 20.4301
Pm Y Cd
5 1 4
Direct
0.0000 0.0000 0.0000
0.0000 0.0000 0.1899
0.0000 0.0000 0.3808
0.0000 0.0000 0.6192
0.0000 0.0000 0.8101
0.5000 0.5000 0.5000
0.5000 0.5000 0.0954
0.5000 0.5000 0.2865
0.5000 0.5000 0.7135
0.5000 0.5000 0.9046
```

Values from the calculation:
- SG = P4/mmm (123)


(19)
Density functional theory data (PBE) for a geometry-optimized Pm5Y8Cd structure.

Structure (POSCAR):
```
Pm5Y8Cd
1.0
-4.8260 4.8260 5.0220
4.8260 -4.8260 5.0220
4.8260 4.8260 -5.0220
Pm Y Cd
5 8 1
Direct
0.0000 0.0000 0.0000
0.3217 0.2104 0.6889
0.3672 0.6783 0.8888
0.5216 0.6328 0.3111
0.7896 0.4784 0.1112
0.0255 0.7697 0.6057
0.0543 0.3264 0.8929
0.1640 0.4198 0.3943
0.2303 0.8360 0.2558
0.4335 0.1614 0.1071
0.5802 0.9745 0.7442
0.6736 0.5665 0.7279
0.8386 0.9457 0.2721
0.7500 0.2500 0.5000
```

Values from the calculation:
- SG = I-4 (82)


(20)
Density functional theory data (PBE) for a geometry-optimized Pm6Y8Cd structure.

Structure (POSCAR):
```
Pm6Y8Cd
1.0
9.5863 0.0000 0.0000
-4.7932 8.3020 0.0000
0.0000 0.0000 6.2744
Pm Y Cd
6 8 1
Direct
0.0909 0.4566 0.1931
0.3657 0.9091 0.1931
0.4566 0.3657 0.8069
0.5434 0.6343 0.1931
0.6343 0.0909 0.8069
0.9091 0.5434 0.8069
0.0398 0.2614 0.6969
0.2215 0.9602 0.6969
0.2614 0.2215 0.3031
0.3333 0.6667 0.6891
0.6667 0.3333 0.3109
0.7386 0.7785 0.6969
0.7785 0.0398 0.3031
0.9602 0.7386 0.3031
0.0000 0.0000 0.0000
```

Values from the calculation:
- SG = P-3 (147)


(21)
Density functional theory data (PBE) for a geometry-optimized Pm2Y7Cd2 structure.

Structure (POSCAR):
```
Pm2Y7Cd2
1.0
4.8075 -5.8357 0.0000
4.8075 5.8357 0.0000
-2.6657 0.0000 6.0986
Pm Y Cd
2 7 2
Direct
0.1386 0.8614 0.0000
0.8614 0.1386 0.0000
0.0000 0.0000 0.5000
0.0635 0.5746 0.3018
0.3439 0.3439 0.0444
0.4254 0.9365 0.6982
0.5746 0.0635 0.3018
0.6561 0.6561 0.9556
0.9365 0.4254 0.6982
0.3372 0.3372 0.5289
0.6628 0.6628 0.4711
```

Values from the calculation:
- SG = C2/m (12)


Number 1: DFT total energy -5.363 eV/atom, D(E_F) 9.62 states/eV per cell. Number 2: DFT total energy -4.226 eV/atom, D(E_F) 9.04 states/eV per cell. Number 3: DFT total energy -5.278 eV/atom, D(E_F) 13.48 states/eV per cell. Number 4: DFT total energy -5.667 eV/atom, D(E_F) 18.41 states/eV per cell. Number 5: DFT total energy -3.217 eV/atom, D(E_F) 5.24 states/eV per cell. Number 6: DFT total energy -5.089 eV/atom, D(E_F) 21.29 states/eV per cell. Number 7: DFT total energy -4.861 eV/atom, D(E_F) 15.81 states/eV per cell. Number 8: DFT total energy -3.113 eV/atom, D(E_F) 3.53 states/eV per cell. Number 9: DFT total energy -3.845 eV/atom, D(E_F) 16.57 states/eV per cell. Number 10: DFT total energy -2.380 eV/atom, D(E_F) 4.16 states/eV per cell. Number 11: DFT total energy -4.492 eV/atom, D(E_F) 7.44 states/eV per cell. Number 12: DFT total energy -5.393 eV/atom, D(E_F) 12.74 states/eV per cell. Number 13: DFT total energy -3.895 eV/atom, D(E_F) 6.96 states/eV per cell. Number 14: DFT total energy -5.550 eV/atom, D(E_F) 17.51 states/eV per cell. Number 15: DFT total energy -2.372 eV/atom, D(E_F) 5.69 states/eV per cell. Number 16: DFT total energy -1.650 eV/atom, D(E_F) 5.49 states/eV per cell. Number 17: DFT total energy -5.179 eV/atom, D(E_F) 11.00 states/eV per cell. Number 18: DFT total energy -3.632 eV/atom, D(E_F) 12.19 states/eV per cell. Number 19: DFT total energy -5.272 eV/atom, D(E_F) 17.31 states/eV per cell. Number 20: DFT total energy -5.332 eV/atom, D(E_F) 19.66 states/eV per cell. Number 21: DFT total energy -5.063 eV/atom, D(E_F) 11.88 states/eV per cell.